Record 1
## Tm6ZnTe2 (PBE)

Data for a relaxed structure of Tm6ZnTe2.

a = 6.827 Å, b = 6.827 Å, c = 12.636 Å
α = 90.00°, β = 90.00°, γ = 90.00°
Sites, in units of the cell vectors:
Tm 0.196 0.196 0.160
Tm 0.196 0.196 0.840
Tm 0.223 0.223 0.500
Tm 0.277 0.723 0.000
Tm 0.304 0.696 0.340
Tm 0.304 0.696 0.660
Tm 0.696 0.304 0.340
Tm 0.696 0.304 0.660
Tm 0.723 0.277 0.000
Tm 0.777 0.777 0.500
Tm 0.804 0.804 0.160
Tm 0.804 0.804 0.840
Zn 0.000 0.000 0.000
Zn 0.500 0.500 0.500
Te 0.000 0.000 0.339
Te 0.000 0.000 0.661
Te 0.500 0.500 0.161
Te 0.500 0.500 0.839

## Properties
Energy relative to the elements, uncorrected ... -0.244 eV per atom
Magnetic moment ... 0.0 μB/f.u.

***

Record 2
## Tm8ZnTe2 (PBE)

Data for a relaxed structure of Tm8ZnTe2.

a = 8.364 Å, b = 8.364 Å, c = 6.195 Å
α = 93.35°, β = 93.35°, γ = 46.58°
Sites, in units of the cell vectors:
Tm 0.085 0.085 0.371
Tm 0.156 0.660 0.157
Tm 0.306 0.306 0.613
Tm 0.340 0.844 0.843
Tm 0.660 0.156 0.157
Tm 0.694 0.694 0.387
Tm 0.844 0.340 0.843
Tm 0.915 0.915 0.629
Zn 0.500 0.500 0.500
Te 0.240 0.240 0.109
Te 0.760 0.760 0.891

## Properties
Energy relative to the elements, uncorrected ... -0.351 eV per atom
Magnetic moment ... 0.0 μB/f.u.

***

Record 3
## Tm2ZnTe (PBE)

Data for a relaxed structure of Tm2ZnTe.

a = 4.187 Å, b = 23.208 Å, c = 4.208 Å
α = 90.00°, β = 90.00°, γ = 90.00°
Sites, in units of the cell vectors:
Tm 0.000 0.062 0.250
Tm 0.000 0.335 0.250
Tm 0.000 0.665 0.750
Tm 0.000 0.938 0.750
Tm 0.500 0.165 0.750
Tm 0.500 0.438 0.750
Tm 0.500 0.562 0.250
Tm 0.500 0.835 0.250
Zn 0.000 0.462 0.250
Zn 0.000 0.538 0.750
Zn 0.500 0.038 0.750
Zn 0.500 0.962 0.250
Te 0.000 0.196 0.250
Te 0.000 0.804 0.750
Te 0.500 0.304 0.750
Te 0.500 0.696 0.250

## Properties
Energy relative to the elements, uncorrected ... -0.782 eV per atom
Magnetic moment ... 0.0 μB/f.u.

***

Record 4
## Tm4ZnTe (PBE)

Data for a relaxed structure of Tm4ZnTe.

a = 6.132 Å, b = 6.405 Å, c = 8.624 Å
α = 90.00°, β = 110.16°, γ = 90.00°
Sites, in units of the cell vectors:
Tm 0.017 0.002 0.303
Tm 0.017 0.498 0.303
Tm 0.383 0.750 0.072
Tm 0.428 0.750 0.631
Tm 0.572 0.250 0.369
Tm 0.617 0.250 0.928
Tm 0.983 0.502 0.697
Tm 0.983 0.998 0.697
Zn 0.310 0.250 0.590
Zn 0.690 0.750 0.410
Te 0.178 0.250 0.036
Te 0.822 0.750 0.964

## Properties
Energy relative to the elements, uncorrected ... -0.475 eV per atom
Magnetic moment ... 0.0 μB/f.u.

***

Record 5
## TmZnTe (PBE)

Data for a relaxed structure of TmZnTe.

a = 7.852 Å, b = 4.531 Å, c = 10.388 Å
α = 90.00°, β = 102.60°, γ = 90.00°
Sites, in units of the cell vectors:
Tm 0.049 0.000 0.171
Tm 0.451 0.500 0.829
Tm 0.549 0.500 0.171
Tm 0.951 0.000 0.829
Zn 0.170 0.500 0.012
Zn 0.330 0.000 0.988
Zn 0.670 0.000 0.012
Zn 0.830 0.500 0.988
Te 0.244 0.000 0.688
Te 0.256 0.500 0.312
Te 0.744 0.500 0.688
Te 0.756 0.000 0.312

## Properties
Energy relative to the elements, uncorrected ... -0.806 eV per atom
Magnetic moment ... 0.0 μB/f.u.

***

Record 6
## Tm2ZnTe (PBE)

Data for a relaxed structure of Tm2ZnTe.

a = 3.979 Å, b = 3.979 Å, c = 23.167 Å
α = 90.00°, β = 90.00°, γ = 120.00°
Sites, in units of the cell vectors:
Tm 0.000 0.000 0.000
Tm 0.000 0.000 0.178
Tm 0.333 0.667 0.667
Tm 0.333 0.667 0.845
Tm 0.667 0.333 0.333
Tm 0.667 0.333 0.512
Zn 0.000 0.000 0.590
Zn 0.333 0.667 0.257
Zn 0.667 0.333 0.924
Te 0.000 0.000 0.422
Te 0.333 0.667 0.088
Te 0.667 0.333 0.755

## Properties
Energy relative to the elements, uncorrected ... -0.665 eV per atom
Magnetic moment ... 0.0 μB/f.u.